The following is a DFT calculation (SCAN) of a crystal of Rb2PH6S3O3 relaxed with PBEsol.

Space group = P2_1/c, No. 14
Electronic total energy = -0.3343 Ha/atom
Total magnetization = 0.000 μB/f.u.
V = 941 Å³/cell

```
data_Rb2PH6S3O3
_symmetry_space_group_name_H-M 'P 1'
_symmetry_Int_Tables_number 1
_cell_length_a 8.987
_cell_length_b 12.682
_cell_length_c 9.087
_cell_angle_alpha 90.00
_cell_angle_beta 114.70
_cell_angle_gamma 90.00
loop_
_symmetry_equiv_pos_as_xyz
'x,y,z'
loop_
_atom_site_label
_atom_site_type_symbol
_atom_site_fract_x
_atom_site_fract_y
_atom_site_fract_z
_atom_site_occupancy
Rb1 Rb 0.115 0.190 0.184 1
Rb2 Rb 0.115 0.310 0.684 1
Rb3 Rb 0.350 0.636 0.897 1
Rb4 Rb 0.350 0.864 0.397 1
Rb5 Rb 0.650 0.136 0.603 1
Rb6 Rb 0.650 0.364 0.103 1
Rb7 Rb 0.885 0.690 0.316 1
Rb8 Rb 0.885 0.810 0.816 1
P1 P 0.113 0.502 0.118 1
P2 P 0.113 0.998 0.618 1
P3 P 0.887 0.002 0.382 1
P4 P 0.887 0.498 0.882 1
H1 H 0.220 0.547 0.472 1
H2 H 0.220 0.953 0.972 1
H3 H 0.382 0.152 0.828 1
H4 H 0.382 0.348 0.328 1
H5 H 0.382 0.622 0.553 1
H6 H 0.382 0.878 0.053 1
H7 H 0.394 0.030 0.156 1
H8 H 0.394 0.470 0.656 1
H9 H 0.424 0.154 0.020 1
H10 H 0.424 0.346 0.520 1
H11 H 0.449 0.607 0.255 1
H12 H 0.449 0.893 0.755 1
H13 H 0.551 0.107 0.245 1
H14 H 0.551 0.393 0.745 1
H15 H 0.576 0.654 0.480 1
H16 H 0.576 0.846 0.980 1
H17 H 0.606 0.530 0.344 1
H18 H 0.606 0.970 0.844 1
H19 H 0.618 0.122 0.947 1
H20 H 0.618 0.378 0.447 1
H21 H 0.618 0.652 0.672 1
H22 H 0.618 0.848 0.172 1
H23 H 0.780 0.047 0.028 1
H24 H 0.780 0.453 0.528 1
S1 S 0.044 0.056 0.788 1
S2 S 0.044 0.444 0.288 1
S3 S 0.181 0.655 0.154 1
S4 S 0.181 0.845 0.654 1
S5 S 0.275 0.092 0.579 1
S6 S 0.275 0.408 0.079 1
S7 S 0.725 0.592 0.921 1
S8 S 0.725 0.908 0.421 1
S9 S 0.819 0.155 0.346 1
S10 S 0.819 0.345 0.846 1
S11 S 0.956 0.556 0.712 1
S12 S 0.956 0.944 0.212 1
O1 O 0.300 0.578 0.576 1
O2 O 0.300 0.922 0.076 1
O3 O 0.429 0.106 0.191 1
O4 O 0.429 0.394 0.691 1
O5 O 0.452 0.186 0.933 1
O6 O 0.452 0.314 0.433 1
O7 O 0.548 0.686 0.567 1
O8 O 0.548 0.814 0.067 1
O9 O 0.571 0.606 0.309 1
O10 O 0.571 0.894 0.809 1
O11 O 0.700 0.078 0.924 1
O12 O 0.700 0.422 0.424 1
```


The following is a DFT calculation (SCAN) of a crystal of Na2PPd2 relaxed with PBEsol.

Space group = P4/mbm, No. 127
DFT formation energy = -0.43 eV/atom
Total magnetization = 0.000 μB/f.u.
V = 182 Å³/cell

```
data_Na2PPd2
_symmetry_space_group_name_H-M 'P 1'
_symmetry_Int_Tables_number 1
_cell_length_a 6.104
_cell_length_b 6.104
_cell_length_c 4.891
_cell_angle_alpha 90.00
_cell_angle_beta 90.00
_cell_angle_gamma 90.00
loop_
_symmetry_equiv_pos_as_xyz
'x,y,z'
loop_
_atom_site_label
_atom_site_type_symbol
_atom_site_fract_x
_atom_site_fract_y
_atom_site_fract_z
_atom_site_occupancy
Na1 Na 0.171 0.329 0.000 1
Na2 Na 0.329 0.829 0.000 1
Na3 Na 0.671 0.171 0.000 1
Na4 Na 0.829 0.671 0.000 1
P1 P 0.000 0.000 0.500 1
P2 P 0.500 0.500 0.500 1
Pd1 Pd 0.160 0.660 0.500 1
Pd2 Pd 0.340 0.160 0.500 1
Pd3 Pd 0.660 0.840 0.500 1
Pd4 Pd 0.840 0.340 0.500 1
```


The following is a DFT calculation (SCAN) of a crystal of TmSbPt relaxed with PBEsol.

Space group = F-43m, No. 216
Raw formation energy = -1.48 eV/atom
Total magnetization = 0.000 μB/f.u.
V = 68 Å³/cell

```
data_TmSbPt
_symmetry_space_group_name_H-M 'P 1'
_symmetry_Int_Tables_number 1
_cell_length_a 4.575
_cell_length_b 4.575
_cell_length_c 4.575
_cell_angle_alpha 60.00
_cell_angle_beta 60.00
_cell_angle_gamma 60.00
loop_
_symmetry_equiv_pos_as_xyz
'x,y,z'
loop_
_atom_site_label
_atom_site_type_symbol
_atom_site_fract_x
_atom_site_fract_y
_atom_site_fract_z
_atom_site_occupancy
Tm1 Tm 0.000 0.000 0.000 1
Sb1 Sb 0.500 0.500 0.500 1
Pt1 Pt 0.750 0.750 0.750 1
```


The following is a DFT calculation (SCAN) of a crystal of Ba2Au relaxed with PBEsol.

Space group = Cmcm, No. 63
DFT formation energy = -0.58 eV/atom
Total magnetization = 0.013 μB/f.u.
V = 278 Å³/cell

```
data_Ba2Au
_symmetry_space_group_name_H-M 'P 1'
_symmetry_Int_Tables_number 1
_cell_length_a 9.295
_cell_length_b 9.295
_cell_length_c 6.619
_cell_angle_alpha 90.00
_cell_angle_beta 90.00
_cell_angle_gamma 150.90
loop_
_symmetry_equiv_pos_as_xyz
'x,y,z'
loop_
_atom_site_label
_atom_site_type_symbol
_atom_site_fract_x
_atom_site_fract_y
_atom_site_fract_z
_atom_site_occupancy
Ba1 Ba 0.073 0.927 0.750 1
Ba2 Ba 0.316 0.684 0.750 1
Ba3 Ba 0.684 0.316 0.250 1
Ba4 Ba 0.927 0.073 0.250 1
Au1 Au 0.308 0.692 0.250 1
Au2 Au 0.692 0.308 0.750 1
```


The following is a DFT calculation (SCAN) of a crystal of BaLaTeI2 relaxed with PBEsol.

Space group = P4/mmm, No. 123
Raw formation energy = -1.37 eV/atom
Total magnetization = 0.000 μB/f.u.
V = 225 Å³/cell

```
data_BaLaTeI2
_symmetry_space_group_name_H-M 'P 1'
_symmetry_Int_Tables_number 1
_cell_length_a 6.057
_cell_length_b 6.057
_cell_length_c 6.129
_cell_angle_alpha 90.00
_cell_angle_beta 90.00
_cell_angle_gamma 90.00
loop_
_symmetry_equiv_pos_as_xyz
'x,y,z'
loop_
_atom_site_label
_atom_site_type_symbol
_atom_site_fract_x
_atom_site_fract_y
_atom_site_fract_z
_atom_site_occupancy
Ba1 Ba 0.000 0.000 0.000 1
La1 La 0.500 0.500 0.500 1
Te1 Te 0.500 0.500 0.000 1
I1 I 0.000 0.500 0.500 1
I2 I 0.500 0.000 0.500 1
```


The following is a DFT calculation (SCAN) of a crystal of WCF2 relaxed with PBEsol.

Space group = I-42d, No. 122
Raw formation energy = -0.20 eV/atom
Total magnetization = 0.000 μB/f.u.
V = 75 Å³/cell
Energy above the most stable polymorph in this dataset = 0 meV per atom

```
data_WCF2
_symmetry_space_group_name_H-M 'P 1'
_symmetry_Int_Tables_number 1
_cell_length_a 8.062
_cell_length_b 8.062
_cell_length_c 8.062
_cell_angle_alpha 157.79
_cell_angle_beta 157.79
_cell_angle_gamma 31.62
loop_
_symmetry_equiv_pos_as_xyz
'x,y,z'
loop_
_atom_site_label
_atom_site_type_symbol
_atom_site_fract_x
_atom_site_fract_y
_atom_site_fract_z
_atom_site_occupancy
W1 W 0.000 0.000 0.000 1
W2 W 0.750 0.250 0.500 1
C1 C 0.250 0.750 0.500 1
C2 C 0.500 0.500 0.000 1
F1 F 0.104 0.625 0.979 1
F2 F 0.375 0.354 0.479 1
F3 F 0.646 0.125 0.021 1
F4 F 0.875 0.896 0.521 1
```


Question: What is the total magnetization in the fourth record?
Answer: 0.013 μB/f.u.


Question: Which of these has the lowest V?
Answer: TmSbPt